(1)
DFT (PBE) results for a geometry-optimized Li4TaSe4 structure.

## Properties
VASP energy (eV per atom): -4.669
Fermi-level density of states (states/eV/cell): 7.57
Uncorrected formation energy (eV/atom): -0.952

a b c (Å): 6.2865 6.2865 11.0812
angles (deg): 90.00 90.00 90.00
Space group I-42m (No. 121)
Symmetry-distinct sites (fractional):
Li 0.0000 0.0000 0.2183
Li 0.0000 0.5000 0.0000
Ta 0.0000 0.0000 0.5000
Se 0.2277 0.2277 0.6255

***

(2)
DFT (PBE) results for a geometry-optimized LiTaSe3 structure.

## Properties
VASP energy (eV per atom): -5.340
Fermi-level density of states (states/eV/cell): 2.45
Energy above the lowest structure with this stoichiometry (kcal/mol of atoms): 8.65
Uncorrected formation energy (eV/atom): -0.496

a b c (Å): 5.0700 5.0700 5.0700
angles (deg): 90.00 90.00 90.00
Space group Pm-3m (No. 221)
Symmetry-distinct sites (fractional):
Li 0.0000 0.0000 0.0000
Ta 0.5000 0.5000 0.5000
Se 0.0000 0.5000 0.5000

***

Magnetization list, top to bottom, in μB per formula unit: 0.94; 0.00